A plane-wave DFT calculation with PBE with a Hubbard U was carried out for a relaxed structure of V5Bi17Pb5O43.

a = 12.0024 Å, b = 12.0024 Å, c = 11.9822 Å
α = 119.25°, β = 119.25°, γ = 90.07°
Last column: nearest neighbours and their distance in Å.
Positions (direct):
1 O 0.2346 0.4099 0.8174  2 Bi 2.21-2.22, 1 Pb 2.42
2 O 0.2346 0.0535 0.4515  2 Bi 2.18-2.20
3 O 0.4698 0.6952 0.8490  1 V 1.77
4 O 0.0535 0.2346 0.4515  2 Bi 2.18-2.20
5 O 0.2285 0.0509 0.8176  3 Bi 2.18-2.29
6 O 0.0117 0.7582 0.2539  1 V 1.72
7 O 0.2234 0.4043 0.1714  2 Bi 2.10-2.20
8 O 0.7582 0.0117 0.2539  1 V 1.72
9 O 0.5221 0.2081 0.5779  1 V 1.75
10 O 0.7374 0.9834 0.4704  1 V 1.74
11 O 0.5719 0.0428 0.7871  3 Bi 2.19-2.34
12 O 0.7828 0.2325 0.1440  2 Bi 2.10-2.32
13 O 0.0728 0.0728 0.5663  2 Bi 2.12-2.13
14 O 0.5968 0.7733 0.1602  1 V 1.82
15 O 0.4472 0.9240 0.4518  2 Bi 2.10-2.15
16 O 0.5068 0.5068 0.3688  2 Bi 2.13-2.15
17 O 0.0428 0.5719 0.7871  3 Bi 2.19-2.34
18 O 0.9780 0.8086 0.8739  1 V 1.78
19 O 0.7955 0.3033 0.6829  1 V 1.71
20 O 0.5099 0.0050 0.2349  1 V 1.74
21 O 0.6952 0.4698 0.8490  1 V 1.77
22 O 0.5081 0.5081 0.9336  3 Bi 2.16-2.35
23 O 0.6032 0.4172 0.5544  1 V 1.76
24 O 0.6023 0.7837 0.5303  2 Bi 2.15-2.20
25 O 0.0650 0.0650 0.9359  1 V 1.72
26 O 0.6011 0.4220 0.1614  1 Bi 2.12, 1 Pb 2.30
27 O 0.7837 0.6023 0.5303  2 Bi 2.15-2.20
28 O 0.4043 0.2234 0.1714  2 Bi 2.10-2.20
29 O 0.0498 0.0498 0.1571  1 V 1.72
30 O 0.9240 0.4472 0.4518  2 Bi 2.10-2.15
31 O 0.4172 0.6032 0.5544  1 V 1.76
32 O 0.0509 0.2285 0.8176  3 Bi 2.18-2.29
33 O 0.2325 0.7828 0.1440  2 Bi 2.10-2.32
34 O 0.2081 0.5221 0.5779  1 V 1.75
35 O 0.7733 0.5968 0.1602  1 V 1.82
36 O 0.3033 0.7955 0.6829  1 V 1.71
37 O 0.4099 0.2346 0.8174  2 Bi 2.21-2.22, 1 Pb 2.42
38 O 0.8086 0.9780 0.8739  1 V 1.78
39 O 0.4856 0.0657 0.9606  3 Bi 2.15-2.37
40 O 0.4220 0.6011 0.1614  1 Bi 2.12, 1 Pb 2.30
41 O 0.9834 0.7374 0.4704  1 V 1.74
42 O 0.0050 0.5099 0.2349  1 V 1.74
43 O 0.0657 0.4856 0.9606  3 Bi 2.15-2.37
44 Pb 0.6838 0.3457 0.3199  2 O 2.30-2.44
45 Pb 0.6652 0.6652 0.3237  6 O 2.42-2.67
46 Pb 0.3457 0.6838 0.3199  2 O 2.30-2.44
47 Pb 0.3396 0.3396 0.0144  8 O 2.61-2.88
48 Pb 0.3062 0.3062 0.6430  5 O 2.42-2.71
49 Bi 0.0147 0.3468 0.7066  4 O 2.21-2.37
50 Bi 0.0173 0.3452 0.0044  3 O 2.10-2.23
51 Bi 0.9987 0.6529 0.6429  3 O 2.15-2.23
52 Bi 0.0161 0.0161 0.3423  3 O 2.13-2.20
53 Bi 0.6614 0.6614 0.9949  5 O 2.16-2.30
54 Bi 0.6240 0.3609 0.9774  3 O 2.12-2.35
55 Bi 0.0114 0.3383 0.3352  3 O 2.10-2.32
56 Bi 0.0127 0.0127 0.6731  3 O 2.12-2.18
57 Bi 0.3697 0.3697 0.3441  3 O 2.13-2.20
58 Bi 0.3609 0.6240 0.9774  3 O 2.12-2.35
59 Bi 0.6529 0.9987 0.6429  3 O 2.15-2.23
60 Bi 0.6766 0.0255 0.9842  3 O 2.10-2.25
61 Bi 0.6509 0.6509 0.6125  3 O 2.15-2.20
62 Bi 0.3383 0.0114 0.3352  3 O 2.10-2.32
63 Bi 0.3452 0.0173 0.0044  3 O 2.10-2.23
64 Bi 0.0255 0.6766 0.9842  3 O 2.10-2.25
65 Bi 0.3468 0.0147 0.7066  4 O 2.21-2.37
66 V 0.9779 0.9779 0.9634  4 O 1.72-1.78
67 V 0.6540 0.9558 0.2884  4 O 1.72-1.82
68 V 0.9558 0.6540 0.2884  4 O 1.72-1.82
69 V 0.6542 0.3459 0.6625  4 O 1.71-1.77
70 V 0.3459 0.6542 0.6625  4 O 1.71-1.77

## Properties
magnetic moment = 0.00 μB/f.u.
calculated volume = 1246.9 Å³ per cell
ρ = 7.4 Mg/m³
calculated total energy = -6.193 eV/atom